Entry 1:
KCoRu2 (PBE, relaxed); DFT formation energy = 1.5587 eV/atom; size of the total moment = 2.775 μB/cell; final energy = -5.1300 eV/atom; excess energy over the best structure of this formula in the dataset = 81.1 kJ per mole of atoms
1.0
4.7154 0.0000 0.0000
0.0000 3.7718 0.0000
0.0000 0.0000 3.7718
K Ru Co
1 2 1
Direct
0.5000 0.0000 0.5000
0.0000 0.0000 0.0000
0.0000 0.5000 0.5000
0.5000 0.5000 0.0000

***

Entry 2:
KCoRu (PBE, relaxed); DFT formation energy = 1.0218 eV/atom; size of the total moment = 3.825 μB/cell; final energy = -4.8046 eV/atom; excess energy over the best structure of this formula in the dataset = 41.7 kJ per mole of atoms
1.0
-5.5958 5.1495 6.5410
-0.4892 -3.2658 2.1525
6.8162 1.8582 4.3683
Co Ru K
4 4 4
Direct
0.9377 0.2500 0.8680
0.5623 0.7500 0.3680
0.0623 0.7500 0.1320
0.4377 0.2500 0.6320
0.5420 0.7500 0.6382
0.9580 0.2500 0.1382
0.0420 0.7500 0.8618
0.4580 0.2500 0.3618
0.8076 0.2500 0.5075
0.6924 0.7500 0.0075
0.3076 0.2500 0.9925
0.1924 0.7500 0.4925

***

Entry 3:
KCoRu2 (PBE, relaxed); DFT formation energy = 0.7182 eV/atom; size of the total moment = 2.095 μB/cell; final energy = -5.9706 eV/atom; excess energy over the best structure of this formula in the dataset = 0.0 kJ per mole of atoms
1.0
2.7321 0.0000 0.0000
0.0000 3.6406 0.0000
0.0000 0.0000 7.7431
Ru Co K
2 1 1
Direct
0.0000 0.0000 0.0938
0.5000 0.5000 0.2505
0.0000 0.0000 0.4117
0.5000 0.5000 0.7440

***

Entry 4:
KCoRu (PBE, relaxed); DFT formation energy = 0.6511 eV/atom; size of the total moment = 7.915 μB/cell; final energy = -5.1753 eV/atom; excess energy over the best structure of this formula in the dataset = 5.9 kJ per mole of atoms
1.0
12.3063 0.0000 0.0000
0.0000 4.7396 0.0000
0.0000 0.0000 4.3812
Co Ru K
4 4 4
Direct
0.0000 0.5000 0.0000
0.0000 0.0000 0.0000
0.5000 0.5000 0.5000
0.5000 0.0000 0.5000
0.4660 0.2500 0.9999
0.5340 0.7500 0.0001
0.9660 0.2500 0.5001
0.0340 0.7500 0.4999
0.7712 0.7500 0.5021
0.2712 0.7500 0.9979
0.2288 0.2500 0.4979
0.7288 0.2500 0.0021